Density functional theory data (PBE-GGA) for crystalline AcAgAs2 at its relaxed geometry.

Unit cell a=4.6944 b=4.6944 c=5.8576 alpha=66.38 beta=66.38 gamma=60.00
Sites, in units of the cell vectors:
Ac  0.5000  0.5000  0.5000
As  0.7166  0.7166  0.8502
As  0.2834  0.2834  0.1498
Ag  0.0000  0.0000  0.0000

ΔH_f (0 K) = -0.5148 eV/atom
volume = 99.1 Å³/f.u.
Fermi-level density of states = 0.42 states/eV per atom

=====

Density functional theory data (PBE-GGA) for crystalline AlIrCl2 at its relaxed geometry.

Unit cell a=3.3338 b=3.3338 c=9.2493 alpha=90.00 beta=90.00 gamma=125.05
Sites, in units of the cell vectors:
Ir  0.0000  0.0000  0.5268
Al  0.5000  0.5000  0.7308
Cl  0.0000  0.0000  0.9225
Cl  0.5000  0.5000  0.3200

calculated total energy = -17.235 eV per cell
volume = 84.2 Å³/f.u.
Fermi-level density of states = 0.56 states/eV per atom

=====

Density functional theory data (PBE-GGA) for crystalline Cs3Rb2O at its relaxed geometry.

Unit cell a=8.6851 b=8.6108 c=12.8202 alpha=100.11 beta=109.80 gamma=90.00
Sites, in units of the cell vectors:
Cs  0.3774  0.2500  0.0000
Cs  0.6226  0.7500  0.0000
Cs  0.0790  0.0403  0.1568
Cs  0.9222  0.4597  0.8432
Cs  0.0778  0.5403  0.1568
Cs  0.9210  0.9597  0.8432
Rb  0.7098  0.6044  0.4202
Rb  0.7104  0.1044  0.4202
Rb  0.2896  0.8956  0.5798
Rb  0.2902  0.3956  0.5798
O  0.9229  0.7500  0.0000
O  0.0771  0.2500  0.0000

calculated total energy = -24.732 eV per cell
volume = 443.1 Å³/f.u.
Fermi-level density of states = 0.61 states/eV per atom

=====

Density functional theory data (PBE-GGA) for crystalline Cs2WBr at its relaxed geometry.

Unit cell a=8.5470 b=8.5470 c=8.5470 alpha=110.28 beta=110.28 gamma=107.86
Sites, in units of the cell vectors:
Cs  0.6250  0.1546  0.0296
Cs  0.1250  0.5954  0.9704
Cs  0.8454  0.8750  0.4704
Cs  0.4046  0.3750  0.5296
W  0.0000  0.0000  0.0000
W  0.2500  0.7500  0.5000
Br  0.5000  0.5000  0.0000
Br  0.7500  0.2500  0.5000

calculated total energy = -26.345 eV per cell
volume = 240.2 Å³/f.u.

=====

Density functional theory data (PBE-GGA) for crystalline CsK2Rb12 at its relaxed geometry.

Unit cell a=9.0946 b=9.0946 c=35.8813 alpha=90.00 beta=90.00 gamma=90.00
Sites, in units of the cell vectors:
Cs  0.5000  0.0000  0.0000
Cs  0.0000  0.5000  0.0000
K  0.5000  0.0000  0.2801
K  0.0000  0.5000  0.2801
K  0.0000  0.5000  0.7199
K  0.5000  0.0000  0.7199
Rb  0.5000  0.5000  0.7823
Rb  0.0000  0.0000  0.7823
Rb  0.7497  0.7503  0.8839
Rb  0.2497  0.7497  0.8839
Rb  0.0000  0.0000  0.3413
Rb  0.2503  0.7503  0.1161
Rb  0.8214  0.3214  0.5608
Rb  0.5000  0.5000  0.3413
Rb  0.2503  0.2497  0.8839
Rb  0.7503  0.7497  0.1161
Rb  0.3214  0.1786  0.5608
Rb  0.6786  0.1786  0.4392
Rb  0.0000  0.0000  0.6587
Rb  0.1786  0.3214  0.4392
Rb  0.2497  0.2503  0.1161
Rb  0.8214  0.6786  0.4392
Rb  0.6786  0.8214  0.5608
Rb  0.0000  0.0000  0.2177
Rb  0.1786  0.6786  0.5608
Rb  0.5000  0.5000  0.6587
Rb  0.7503  0.2503  0.8839
Rb  0.5000  0.5000  0.2177
Rb  0.3214  0.8214  0.4392
Rb  0.7497  0.2497  0.1161

ΔH_f (0 K) = 0.0728 eV/atom
volume = 1483.9 Å³/f.u.
Fermi-level density of states = 0.77 states/eV per atom

=====

Density functional theory data (PBE-GGA) for crystalline Tm2Rh2O7 at its relaxed geometry.

Unit cell a=7.1658 b=7.1658 c=7.1658 alpha=60.00 beta=60.00 gamma=60.00
Sites, in units of the cell vectors:
Tm  0.6250  0.6250  0.6250
Tm  0.6250  0.6250  0.1250
Tm  0.6250  0.1250  0.6250
Tm  0.1250  0.6250  0.6250
Rh  0.6250  0.1250  0.1250
Rh  0.1250  0.6250  0.1250
Rh  0.1250  0.1250  0.6250
Rh  0.1250  0.1250  0.1250
O  0.2143  0.2143  0.7857
O  0.2143  0.7857  0.2143
O  0.4643  0.0357  0.4643
O  0.4643  0.4643  0.0357
O  0.7500  0.7500  0.7500
O  0.7857  0.2143  0.2143
O  0.4643  0.0357  0.0357
O  0.0357  0.4643  0.4643
O  0.0357  0.0357  0.4643
O  0.0357  0.4643  0.0357
O  0.2143  0.7857  0.7857
O  0.5000  0.5000  0.5000
O  0.7857  0.2143  0.7857
O  0.7857  0.7857  0.2143

calculated total energy = -162.829 eV per cell
volume = 130.1 Å³/f.u.
Fermi-level density of states = 0.55 states/eV per atom

=====

Density functional theory data (PBE-GGA) for crystalline K2Na5Cd2Hg at its relaxed geometry.

Unit cell a=4.1318 b=13.1223 c=13.1223 alpha=90.00 beta=90.00 gamma=90.00
Sites, in units of the cell vectors:
K  0.0000  0.6731  0.1731
K  0.0000  0.3269  0.8269
K  0.0000  0.1731  0.3269
K  0.0000  0.8269  0.6731
Na  0.5000  0.1869  0.0587
Na  0.5000  0.8131  0.9413
Na  0.5000  0.0587  0.8131
Na  0.5000  0.6869  0.4413
Na  0.5000  0.9413  0.1869
Na  0.5000  0.3131  0.5587
Na  0.5000  0.5587  0.6869
Na  0.5000  0.4413  0.3131
Na  0.5000  0.5000  0.0000
Na  0.5000  0.0000  0.5000
Cd  0.0000  0.1300  0.6300
Cd  0.0000  0.8700  0.3700
Cd  0.0000  0.6300  0.8700
Cd  0.0000  0.3700  0.1300
Hg  0.0000  0.0000  0.0000
Hg  0.0000  0.5000  0.5000

ΔH_f (0 K) = -0.0585 eV/atom
volume = 355.7 Å³/f.u.
Fermi-level density of states = 0.49 states/eV per atom

=====

Density functional theory data (PBE-GGA) for crystalline Fe6IBr12 at its relaxed geometry.

Unit cell a=8.7505 b=8.7505 c=8.7505 alpha=103.22 beta=103.22 gamma=103.22
Sites, in units of the cell vectors:
Fe  0.8748  0.6063  0.8748
Fe  0.8748  0.8748  0.6063
Fe  0.6063  0.8748  0.8748
Fe  0.1252  0.1252  0.3937
Fe  0.1252  0.3937  0.1252
Fe  0.3937  0.1252  0.1252
I  0.0000  0.0000  0.0000
Br  0.8782  0.1218  0.5000
Br  0.4204  0.1602  0.4204
Br  0.4204  0.4204  0.1602
Br  0.8398  0.5796  0.5796
Br  0.5796  0.5796  0.8398
Br  0.5796  0.8398  0.5796
Br  0.5000  0.8782  0.1218
Br  0.1218  0.5000  0.8782
Br  0.1218  0.8782  0.5000
Br  0.5000  0.1218  0.8782
Br  0.8782  0.5000  0.1218
Br  0.1602  0.4204  0.4204

calculated total energy = -77.087 eV per cell
volume = 606.4 Å³/f.u.
Fermi-level density of states = 0.62 states/eV per atom

=====

Density functional theory data (PBE-GGA) for crystalline KU2HgCl8 at its relaxed geometry.

Unit cell a=7.7671 b=7.7671 c=7.7218 alpha=90.00 beta=90.00 gamma=120.00
Sites, in units of the cell vectors:
K  0.0000  0.0000  0.5000
U  0.6667  0.3333  0.0750
U  0.3333  0.6667  0.9250
Hg  0.0000  0.0000  0.0000
Cl  0.9483  0.5884  0.8328
Cl  0.4116  0.3599  0.8328
Cl  0.6401  0.0517  0.8328
Cl  0.0517  0.4116  0.1672
Cl  0.5884  0.6401  0.1672
Cl  0.3599  0.9483  0.1672
Cl  0.6667  0.3333  0.4101
Cl  0.3333  0.6667  0.5899

calculated total energy = -56.895 eV per cell
volume = 403.4 Å³/f.u.
Fermi-level density of states = 1.18 states/eV per atom

=====

Density functional theory data (PBE-GGA) for crystalline KLa2Mn at its relaxed geometry.

Unit cell a=5.6888 b=5.6888 c=5.6888 alpha=60.00 beta=60.00 gamma=60.00
Sites, in units of the cell vectors:
K  0.0000  0.0000  0.0000
Mn  0.5000  0.5000  0.5000
La  0.2500  0.2500  0.2500
La  0.7500  0.7500  0.7500

ΔH_f (0 K) = 0.6118 eV/atom
volume = 130.2 Å³/f.u.
Fermi-level density of states = 1.15 states/eV per atom

=====

Density functional theory data (PBE-GGA) for crystalline Pr8Sm3Tm2 at its relaxed geometry.

Unit cell a=6.2464 b=8.9262 c=8.9262 alpha=84.07 beta=73.09 gamma=73.09
Sites, in units of the cell vectors:
Pr  0.2105  0.5567  0.5567
Pr  0.7895  0.4433  0.4433
Pr  0.9485  0.1507  0.1507
Pr  0.0515  0.8493  0.8493
Pr  0.6691  0.5731  0.0830
Pr  0.6691  0.0830  0.5731
Pr  0.3309  0.9170  0.4269
Pr  0.3309  0.4269  0.9170
Sm  0.5000  0.0000  0.0000
Sm  0.0000  0.2473  0.7527
Sm  0.0000  0.7527  0.2473
Tm  0.3573  0.2887  0.2887
Tm  0.6427  0.7113  0.7113

ΔH_f (0 K) = 0.1546 eV/atom
volume = 455.5 Å³/f.u.
Fermi-level density of states = 1.73 states/eV per atom

=====

Density functional theory data (PBE-GGA) for crystalline ScSi2Ru at its relaxed geometry.

Unit cell a=4.4002 b=4.4002 c=4.4002 alpha=60.00 beta=60.00 gamma=60.00
Sites, in units of the cell vectors:
Ru  0.5000  0.5000  0.5000
Sc  0.2500  0.2500  0.2500
Si  0.0000  0.0000  0.0000
Si  0.7500  0.7500  0.7500

calculated total energy = -27.339 eV per cell
volume = 60.2 Å³/f.u.
Fermi-level density of states = 0.96 states/eV per atom